meta-GGA SCAN Li4Ni11O22, PBEsol geometry; total magnetization = 4.02 μB/cell; uncorrected formation energy = -1288 meV per atom; VASP energy = -372.198 eV per cell
1.0
7.412 0.000 0.000
3.153 6.905 0.000
2.769 -0.297 7.096
Li Ni O
4 11 22
direct
0.158 0.106 0.398
0.301 0.555 0.939
0.699 0.445 0.061
0.842 0.894 0.602
0.000 0.500 0.500
0.093 0.227 0.772
0.181 0.956 0.047
0.269 0.685 0.319
0.369 0.404 0.585
0.455 0.137 0.866
0.545 0.863 0.134
0.631 0.596 0.415
0.731 0.315 0.681
0.819 0.044 0.953
0.907 0.773 0.228
0.041 0.906 0.298
0.055 0.818 0.984
0.119 0.645 0.562
0.140 0.553 0.248
0.228 0.279 0.524
0.234 0.358 0.835
0.314 0.084 0.114
0.320 0.009 0.801
0.388 0.831 0.379
0.417 0.721 0.070
0.500 0.469 0.340
0.500 0.531 0.660
0.583 0.279 0.930
0.612 0.169 0.621
0.680 0.991 0.199
0.686 0.916 0.886
0.766 0.642 0.165
0.772 0.721 0.476
0.860 0.447 0.752
0.881 0.355 0.438
0.945 0.182 0.016
0.959 0.094 0.702